Record 1
ThCoSi3: PBEsol geometry, SCAN.

Cell lengths 5.527, 5.527, 5.527 Å; angles 136.07, 136.07, 63.87 degrees
Sites, in units of the cell vectors:
Th 0.000 0.000 0.000
Co 0.341 0.341 0.000
Si 0.242 0.742 0.500
Si 0.581 0.581 0.000
Si 0.742 0.242 0.500

## Properties
The calculation puts the calculated density at 7.8 g/cm3. As for the uncorrected formation energy: -0.61 eV per atom. Its volume is 16.04 Å³ per atom. Its total magnetization is 0.0 μB per formula unit. The total energy is -29.27 eV/atom. As for the space group: I4mm (107).

=====

Record 2
MgPb3: PBEsol geometry, SCAN.

Cell lengths 3.513, 3.513, 10.459 Å; angles 90.00, 90.00, 120.00 degrees
Sites, in units of the cell vectors:
Mg 0.000 0.000 0.000
Pb 0.000 0.000 0.500
Pb 0.333 0.667 0.232
Pb 0.333 0.667 0.768

## Properties
The calculation puts the calculated density at 9.6 g/cm3. The energy of formation from the pure elements comes out at -0.0456 eV/atom. Its volume is 27.94 Å³ per atom. Its total magnetization is 0.0 μB per formula unit. The total energy is -58.12 eV/atom. As for the space group: P-6m2 (187).

=====

Record 3
KPRuS2: PBEsol geometry, SCAN.

Cell lengths 5.053, 5.053, 4.944 Å; angles 90.00, 90.00, 90.00 degrees
Sites, in units of the cell vectors:
K 0.000 0.000 0.000
P 0.000 0.000 0.500
Ru 0.500 0.500 0.500
S 0.000 0.500 0.000
S 0.500 0.000 0.000

## Properties
The calculation puts the calculated density at 3.1 g/cm3. As for the uncorrected formation energy: 2.15 eV per atom. Its volume is 25.25 Å³ per atom. Its total magnetization is 5.4 μB per formula unit. The total energy is -12.41 eV/atom. As for the space group: P4/mmm (123).

=====

Record 4
InHO2: PBEsol geometry, SCAN.

Cell lengths 3.708, 3.708, 3.708 Å; angles 60.00, 60.00, 60.00 degrees
Sites, in units of the cell vectors:
In 0.000 0.000 0.000
H 0.500 0.500 0.500
O 0.250 0.250 0.250
O 0.750 0.750 0.750

## Properties
The calculation puts the calculated density at 6.8 g/cm3. Its volume is 9.01 Å³ per atom. Its total magnetization is 0.0 μB per formula unit. The total energy is -12.54 eV/atom. As for the space group: Fm-3m (225).

=====

Record 5
Ca3ZnH: PBEsol geometry, SCAN.

Cell lengths 5.616, 5.616, 5.616 Å; angles 90.00, 90.00, 90.00 degrees
Sites, in units of the cell vectors:
Ca 0.000 0.000 0.500
Ca 0.000 0.500 0.000
Ca 0.500 0.000 0.000
Zn 0.000 0.000 0.000
H 0.500 0.500 0.500

## Properties
The calculation puts the calculated density at 1.7 g/cm3. Its volume is 35.42 Å³ per atom. Its total magnetization is 0.0 μB per formula unit. The total energy is -8.81 eV/atom. As for the space group: Pm-3m (221).

=====

Record 6
Ba2BePtAu: PBEsol geometry, SCAN.

Cell lengths 5.984, 5.984, 4.316 Å; angles 90.00, 90.00, 90.00 degrees
Sites, in units of the cell vectors:
Ba 0.000 0.500 0.000
Ba 0.500 0.000 0.000
Be 0.000 0.000 0.500
Pt 0.000 0.000 0.000
Au 0.500 0.500 0.500

## Properties
The calculation puts the calculated density at 7.3 g/cm3. The energy of formation from the pure elements comes out at -0.5451 eV/atom. Its volume is 30.91 Å³ per atom. Its total magnetization is 0.0 μB per formula unit. The total energy is -45.11 eV/atom. As for the space group: P4/mmm (123).

=====

Record 7
Te2MoRu: PBEsol geometry, SCAN.

Cell lengths 3.290, 3.290, 6.508 Å; angles 90.00, 90.00, 90.00 degrees
Sites, in units of the cell vectors:
Te 0.000 0.000 0.248
Te 0.000 0.000 0.752
Mo 0.500 0.500 0.000
Ru 0.500 0.500 0.500

## Properties
The calculation puts the calculated density at 10.7 g/cm3. The value obtained for the relative energy among the computed polymorphs is 0.15 eV/f.u. As for the uncorrected formation energy: 0.33 eV per atom. Its volume is 17.61 Å³ per atom. Its total magnetization is 0.5 μB per formula unit. The total energy is -35.72 eV/atom. As for the space group: P4/mmm (123).

=====

Record 8
YAg2Rh: PBEsol geometry, SCAN.

Cell lengths 3.964, 3.964, 4.476 Å; angles 90.00, 90.00, 90.00 degrees
Sites, in units of the cell vectors:
Y 0.000 0.000 0.000
Ag 0.000 0.500 0.500
Ag 0.500 0.000 0.500
Rh 0.500 0.500 0.000

## Properties
The calculation puts the calculated density at 9.6 g/cm3. The value obtained for the relative energy among the computed polymorphs is 0.10 eV/f.u. The energy of formation from the pure elements comes out at -0.4169 eV/atom. Its volume is 17.58 Å³ per atom. Its total magnetization is 0.0 μB per formula unit. The total energy is -31.50 eV/atom. As for the space group: P4/mmm (123).

=====

Record 9
Ti3NiSn2P6O24: PBEsol geometry, SCAN.

Cell lengths 9.057, 9.057, 9.057 Å; angles 55.07, 55.07, 55.07 degrees
Sites, in units of the cell vectors:
Ti 0.000 0.000 0.000
Ti 0.208 0.208 0.208
Ti 0.508 0.508 0.508
Ni 0.699 0.699 0.699
Sn 0.366 0.366 0.366
Sn 0.831 0.831 0.831
P 0.108 0.818 0.385
P 0.322 0.602 0.895
P 0.385 0.108 0.818
P 0.602 0.895 0.322
P 0.818 0.385 0.108
P 0.895 0.322 0.602
O 0.083 0.240 0.451
O 0.107 0.837 0.207
O 0.164 0.804 0.891
O 0.165 0.969 0.347
O 0.207 0.107 0.837
O 0.240 0.451 0.083
O 0.263 0.615 0.451
O 0.347 0.165 0.969
O 0.349 0.576 0.723
O 0.451 0.083 0.240
O 0.451 0.263 0.615
O 0.509 0.573 0.887
O 0.554 0.908 0.828
O 0.573 0.887 0.509
O 0.576 0.723 0.349
O 0.615 0.451 0.263
O 0.723 0.349 0.576
O 0.804 0.891 0.164
O 0.828 0.554 0.908
O 0.837 0.207 0.107
O 0.887 0.509 0.573
O 0.891 0.164 0.804
O 0.908 0.828 0.554
O 0.969 0.347 0.165

## Properties
The calculation puts the calculated density at 3.6 g/cm3. As for the uncorrected formation energy: -2.54 eV per atom. Its volume is 12.92 Å³ per atom. Its total magnetization is 2.1 μB per formula unit. The total energy is -12.21 eV/atom. As for the space group: R3 (146).

=====

Record 10
TiCd3Os: PBEsol geometry, SCAN.

Cell lengths 5.043, 5.043, 5.043 Å; angles 90.00, 90.00, 90.00 degrees
Sites, in units of the cell vectors:
Ti 0.000 0.000 0.000
Cd 0.000 0.500 0.500
Cd 0.500 0.000 0.500
Cd 0.500 0.500 0.000
Os 0.500 0.500 0.500

## Properties
The calculation puts the calculated density at 7.4 g/cm3. The value obtained for the relative energy among the computed polymorphs is 0.00 eV/f.u. The energy of formation from the pure elements comes out at 1.0391 eV/atom. Its volume is 25.66 Å³ per atom. Its total magnetization is 2.2 μB per formula unit. The total energy is -34.79 eV/atom. As for the space group: Pm-3m (221).

=====

Record 11
BaSi2Rh: PBEsol geometry, SCAN.

Cell lengths 5.258, 5.258, 5.258 Å; angles 133.95, 107.58, 90.22 degrees
Sites, in units of the cell vectors:
Ba 0.000 0.000 0.000
Si 0.329 0.829 0.500
Si 0.501 0.501 0.000
Rh 0.646 0.146 0.500

## Properties
The calculation puts the calculated density at 5.2 g/cm3. As for the uncorrected formation energy: -0.04 eV per atom. Its volume is 23.70 Å³ per atom. Its total magnetization is 0.0 μB per formula unit. The total energy is -23.38 eV/atom. As for the space group: Imm2 (44).

=====

Record 12
BaZn2Te: PBEsol geometry, SCAN.

Cell lengths 6.138, 6.138, 6.138 Å; angles 134.60, 134.60, 66.15 degrees
Sites, in units of the cell vectors:
Ba 0.000 0.000 0.000
Zn 0.250 0.750 0.500
Zn 0.750 0.250 0.500
Te 0.500 0.500 0.000

## Properties
The calculation puts the calculated density at 5.7 g/cm3. As for the uncorrected formation energy: -0.32 eV per atom. Its volume is 28.85 Å³ per atom. Its total magnetization is 0.0 μB per formula unit. The total energy is -26.28 eV/atom. As for the space group: I4/mmm (139).